An optimized crystal structure of CrRe2Te, computed with PBE-GGA.

abc: 6.316 6.316 6.316
angles: 90.00 90.00 90.00
Fractional coordinates of all 16 atoms:
1 Cr 0.000 0.000 0.000
2 Cr 0.000 0.500 0.500
3 Cr 0.500 0.000 0.500
4 Cr 0.500 0.500 0.000
5 Re 0.000 0.000 0.500
6 Re 0.000 0.500 0.000
7 Re 0.250 0.250 0.750
8 Re 0.250 0.750 0.250
9 Re 0.500 0.000 0.000
10 Re 0.500 0.500 0.500
11 Re 0.750 0.250 0.250
12 Re 0.750 0.750 0.750
13 Te 0.250 0.250 0.250
14 Te 0.250 0.750 0.750
15 Te 0.750 0.250 0.750
16 Te 0.750 0.750 0.250

Uncorrected formation energy (eV per atom): 0.742



An optimized crystal structure of CdAg2Cl, computed with PBE-GGA.

abc: 3.327 3.327 25.646
angles: 90.00 90.00 120.00
Fractional coordinates of all 12 atoms:
1 Cd 0.000 0.000 0.000
2 Cd 0.333 0.667 0.667
3 Cd 0.667 0.333 0.333
4 Ag 0.000 0.000 0.249
5 Ag 0.000 0.000 0.499
6 Ag 0.333 0.667 0.166
7 Ag 0.333 0.667 0.916
8 Ag 0.667 0.333 0.582
9 Ag 0.667 0.333 0.833
10 Cl 0.000 0.000 0.749
11 Cl 0.333 0.667 0.416
12 Cl 0.667 0.333 0.082

Uncorrected formation energy (eV per atom): -0.159
Offset from the most stable computed form (eV per atom): 0.004



An optimized crystal structure of CsNaYPt2, computed with PBE-GGA.

abc: 5.308 5.308 6.225
angles: 90.00 90.00 90.00
Fractional coordinates of all 5 atoms:
1 Cs 0.000 0.000 0.000
2 Na 0.500 0.500 0.000
3 Y 0.000 0.000 0.500
4 Pt 0.000 0.500 0.500
5 Pt 0.500 0.000 0.500

Energy relative to the elements (meV per atom): 378